# 1
RbMgCrF6: relaxed, PBE+U.

As for the offset from the most stable computed form: 4 meV/atom. The value obtained for the density of states at the Fermi level is 0.00 states/eV/cell.

abc: 5.335 9.253 6.110
angles: 90.00 90.10 90.00
Space group C2 (No. 5)
Asymmetric unit:
1 Rb 0.000 0.000 0.000
2 Mg 0.000 0.666 0.500
3 Cr 0.000 0.333 0.500
4 F 0.121 0.495 0.323
5 F 0.182 0.191 0.323
6 F 0.196 0.813 0.323



# 2
Rb2Mg3CrF12: relaxed, PBE+U.

The value obtained for the density of states at the Fermi level is 35.65 states/eV/cell.

abc: 7.2904 7.2904 18.3041
angles: 90.00 90.00 120.00
Space group R-3m (No. 166, hexagonal axes)
Asymmetric unit:
1 Rb 0.0000 0.0000 0.1067
2 Mg 0.0000 0.5000 0.0000
3 Cr 0.0000 0.0000 0.5000
4 F 0.0719 0.5360 0.3579
5 F 0.0876 0.5438 0.1094



# 3
MgCr2SF: relaxed, PBE+U.

The value obtained for the density of states at the Fermi level is 1.83 states/eV/cell.

abc: 4.744 4.744 4.041
angles: 90.00 90.00 90.00
Space group P4/mmm (No. 123)
Asymmetric unit:
1 Mg 0.000 0.000 0.000
2 Cr 0.000 0.500 0.500
3 S 0.500 0.500 0.000
4 F 0.000 0.000 0.500



# 4
Mg2CrSF: relaxed, PBE+U.

The value obtained for the density of states at the Fermi level is 0.91 states/eV/cell.

abc: 4.626 4.626 5.612
angles: 90.00 90.00 90.00
Space group P4/mmm (No. 123)
Asymmetric unit:
1 Mg 0.000 0.500 0.000
2 Cr 0.000 0.000 0.500
3 S 0.500 0.500 0.000
4 F 0.500 0.500 0.500



# 5
MgScCr2F: relaxed, PBE+U.

The value obtained for the density of states at the Fermi level is 2.24 states/eV/cell.

abc: 4.959 4.959 4.100
angles: 90.00 90.00 90.00
Space group P4/mmm (No. 123)
Asymmetric unit:
1 Mg 0.000 0.000 0.000
2 Sc 0.500 0.500 0.000
3 Cr 0.000 0.500 0.500
4 F 0.500 0.500 0.500



# 6
MgCrSnF2: relaxed, PBE+U.

The value obtained for the density of states at the Fermi level is 2.18 states/eV/cell.

abc: 3.868 3.868 7.262
angles: 90.00 90.00 90.00
Space group P4/mmm (No. 123)
Asymmetric unit:
1 Mg 0.000 0.000 0.000
2 Cr 0.500 0.500 0.500
3 Sn 0.000 0.000 0.500
4 F 0.000 0.500 0.000



| no. | size of the total moment (μB per atom) | uncorrected energy (eV per atom) |
| --- | --- | --- |
| 1 | 0.333 | -5.441 |
| 2 | 0.106 | -5.093 |
| 3 | 1.964 | -4.982 |
| 4 | 1.015 | -3.614 |
| 5 | 1.855 | -5.341 |
| 6 | 0.800 | -4.891 |